Entry from Alexandria: a relaxed structure of ThMg5In6 (PBE).

abc: 9.044 9.044 5.068
angles: 106.13 106.13 120.92
Atoms (fractional coordinates):
1 Th 0.000 0.000 0.000
2 Mg 0.161 0.839 0.500
3 Mg 0.323 0.677 0.000
4 Mg 0.500 0.500 0.500
5 Mg 0.677 0.323 0.000
6 Mg 0.839 0.161 0.500
7 In 0.096 0.439 0.267
8 In 0.283 0.283 0.783
9 In 0.439 0.096 0.267
10 In 0.561 0.904 0.733
11 In 0.717 0.717 0.217
12 In 0.904 0.561 0.733

- total magnetic moment (μB/atom) = 0.00
- formation energy (kJ/mol of formula units) = -152
- space-group type = No. 12


Entry from Alexandria: a relaxed structure of Na2Ac3Tl4Zn2 (PBE).

abc: 4.831 4.831 17.696
angles: 90.00 90.00 120.00
Atoms (fractional coordinates):
1 Na 0.333 0.667 0.057
2 Na 0.667 0.333 0.943
3 Ac 0.000 0.000 0.256
4 Ac 0.000 0.000 0.500
5 Ac 0.000 0.000 0.744
6 Tl 0.333 0.667 0.386
7 Tl 0.333 0.667 0.856
8 Tl 0.667 0.333 0.144
9 Tl 0.667 0.333 0.614
10 Zn 0.333 0.667 0.639
11 Zn 0.667 0.333 0.361

- total magnetic moment (μB/atom) = 0.00
- formation energy (kJ/mol of formula units) = -194
- space-group type = No. 164